This record from Alexandria via LeMat-Bulk describes a relaxed structure of PaAlVGa2. The functional is PBE.

Formation energy   -196 meV per atom
DOS(E_F)   0.956 states/eV/atom
Raw total energy   -58.79 eV for the cell shown

Unit cell a=3.955 b=3.955 c=11.617 alpha=90.00 beta=90.00 gamma=90.00
Space group I-4m2 (No. 119)
Inequivalent atoms, fractional coordinates:
Pa 0.000 0.000 0.000
Al 0.000 0.500 0.250
V 0.000 0.500 0.750
Ga 0.000 0.000 0.392

=====

This record from Alexandria via LeMat-Bulk describes a relaxed structure of HgTe2Au. The functional is PBE.

DOS(E_F)   0.647 states/eV/atom
Raw total energy   -10.10 eV for the cell shown
Formation energy from raw total energies   -0.0592 eV per atom

Unit cell a=4.5037 b=4.5037 c=7.6231 alpha=90.00 beta=90.00 gamma=120.00
Space group P3m1 (No. 156)
Inequivalent atoms, fractional coordinates:
Hg 0.0000 0.0000 0.0000
Te 0.0000 0.0000 0.3723
Te 0.3333 0.6667 0.8445
Au 0.3333 0.6667 0.4839

=====

This record from Alexandria via LeMat-Bulk describes a relaxed structure of ErFeSi2W. The functional is PBE.

DOS(E_F)   0.591 states/eV/atom
Raw total energy   -78.12 eV for the cell shown
Formation energy from raw total energies   -0.4472 eV per atom

Unit cell a=3.915 b=3.915 c=10.780 alpha=90.00 beta=90.00 gamma=90.00
Space group I-4m2 (No. 119)
Inequivalent atoms, fractional coordinates:
Er 0.000 0.000 0.000
Fe 0.000 0.500 0.750
Si 0.000 0.000 0.388
W 0.000 0.500 0.250

=====

This record from Alexandria via LeMat-Bulk describes a relaxed structure of Er3GaAg2. The functional is PBE.

Formation energy   -423 meV per atom
DOS(E_F)   0.468 states/eV/atom
Raw total energy   -24.95 eV for the cell shown

Unit cell a=3.557 b=3.557 c=10.895 alpha=90.00 beta=90.00 gamma=90.00
Space group P4/mmm (No. 123)
Inequivalent atoms, fractional coordinates:
Er 0.000 0.000 0.000
Er 0.000 0.000 0.338
Ga 0.500 0.500 0.500
Ag 0.500 0.500 0.170

=====

This record from Alexandria via LeMat-Bulk describes a relaxed structure of TaAsCl2. The functional is PBE.

Distance to the lowest polymorph of the same formula   38.17 kJ/mol of atoms
DOS(E_F)   0.108 states/eV/atom
Raw total energy   -84.61 eV for the cell shown
Formation energy from raw total energies   -0.2392 eV per atom

Unit cell a=9.021 b=9.021 c=4.966 alpha=90.00 beta=90.00 gamma=90.00
Space group I-42d (No. 122)
Inequivalent atoms, fractional coordinates:
Ta 0.000 0.000 0.000
As 0.000 0.000 0.500
Cl 0.104 0.250 0.125

=====

This record from Alexandria via LeMat-Bulk describes a relaxed structure of BaEr2Ru. The functional is PBE.

Formation energy   -173 meV per atom
DOS(E_F)   0.676 states/eV/atom
Raw total energy   -21.01 eV for the cell shown

Unit cell a=3.468 b=3.468 c=10.008 alpha=90.00 beta=90.00 gamma=90.00
Space group P4/mmm (No. 123)
Inequivalent atoms, fractional coordinates:
Ba 0.000 0.000 0.000
Er 0.500 0.500 0.340
Ru 0.000 0.000 0.500